(1)
! Ti3AuC | Alexandria | PBE | relaxed; values from VASP
! * energy above the lowest structure with this stoichiometry: 89.3 meV per atom
! * energy of formation from the pure elements: -0.53 eV/atom
&SYSTEM
  ibrav = 0, nat = 10, ntyp = 3
/
ATOMIC_SPECIES
Ti 47.87 Ti.upf
Au 196.97 Au.upf
C 12.01 C.upf
CELL_PARAMETERS angstrom
9.477 -0.003 -0.019
0.508 3.062 -0.001
-1.843 -1.264 5.156
ATOMIC_POSITIONS angstrom
Ti 4.780 2.288 0.417
Ti 6.555 0.421 2.147
Ti 3.978 -0.723 3.276
Ti 0.891 -0.210 3.852
Ti 2.439 1.104 1.555
Ti -1.179 1.707 4.980
Au 5.711 0.562 4.984
Au -0.335 1.566 2.143
C 2.707 2.632 0.113
C 4.512 0.760 1.859

=====

(2)
! Y2HoAl6 | Alexandria | PBE | relaxed; values from VASP
! * energy of formation from the pure elements: -0.50 eV/atom
&SYSTEM
  ibrav = 0, nat = 9, ntyp = 3
/
ATOMIC_SPECIES
Al 26.98 Al.upf
Y 88.91 Y.upf
Ho 164.93 Ho.upf
CELL_PARAMETERS angstrom
3.480 0.000 0.000
0.000 6.842 -3.950
0.000 0.000 7.900
ATOMIC_POSITIONS angstrom
Al 1.740 0.000 2.630
Al 1.740 4.564 2.635
Al 1.740 2.278 -1.315
Al 1.740 0.000 5.270
Al 1.740 4.564 5.265
Al 1.740 2.278 1.315
Y 0.000 2.281 3.950
Y 3.480 4.561 0.000
Ho 0.000 0.000 7.900

=====

(3)
! AgTe3S | Alexandria | PBE | relaxed; values from VASP
! * formation energy without anion corrections: 0.89 eV per atom
! * energy above the lowest structure with this stoichiometry: 332.6 meV per atom
&SYSTEM
  ibrav = 0, nat = 5, ntyp = 3
/
ATOMIC_SPECIES
S 32.06 S.upf
Ag 107.87 Ag.upf
Te 127.60 Te.upf
CELL_PARAMETERS angstrom
5.378 0.000 0.000
0.000 5.378 0.000
0.000 0.000 5.378
ATOMIC_POSITIONS angstrom
S 2.689 2.689 2.689
Ag 0.000 0.000 0.000
Te 2.689 0.000 0.000
Te 0.000 2.689 0.000
Te 0.000 0.000 2.689

=====

(4)
! RbBaHoI6 | Alexandria | PBE | relaxed; values from VASP
! * formation energy without anion corrections: -1.55 eV per atom
&SYSTEM
  ibrav = 0, nat = 18, ntyp = 4
/
ATOMIC_SPECIES
Rb 85.47 Rb.upf
I 126.90 I.upf
Ho 164.93 Ho.upf
Ba 137.33 Ba.upf
CELL_PARAMETERS angstrom
-2.141 7.230 -4.015
-4.259 -7.220 -1.643
-9.970 3.313 11.283
ATOMIC_POSITIONS angstrom
Rb -4.985 1.656 5.642
Rb 0.000 0.000 0.000
I -4.876 4.886 -2.919
I -10.415 1.829 3.617
I -8.322 3.731 -0.740
I -2.327 2.958 -0.100
I -8.048 -0.409 6.366
I -5.348 0.728 -2.115
I -14.043 0.364 5.726
I -11.161 -2.329 4.178
I -11.494 -1.564 8.544
I -5.955 1.493 2.008
I -5.209 5.651 1.447
I -11.022 2.594 7.741
Ho -11.030 0.081 6.029
Ho -5.340 3.241 -0.403
Ba -10.325 4.898 5.238
Ba -6.045 -1.575 0.387

=====

(5)
! CeZnSbPd | Alexandria | PBE | relaxed; values from VASP
! * formation energy without anion corrections: -0.57 eV per atom
&SYSTEM
  ibrav = 0, nat = 4, ntyp = 4
/
ATOMIC_SPECIES
Zn 65.41 Zn.upf
Ce 140.12 Ce.upf
Pd 106.42 Pd.upf
Sb 121.76 Sb.upf
CELL_PARAMETERS angstrom
-3.604 1.873 -2.777
-2.700 -2.963 -2.853
-4.702 -0.897 1.138
ATOMIC_POSITIONS angstrom
Zn 0.000 0.000 0.000
Ce -8.255 -1.491 -3.369
Pd -5.503 -0.994 -2.246
Sb -2.752 -0.497 -1.123

=====

(6)
! Dy3UCo8 | Alexandria | PBE | relaxed; values from VASP
! * energy of formation from the pure elements: -0.17 eV/atom
&SYSTEM
  ibrav = 0, nat = 12, ntyp = 3
/
ATOMIC_SPECIES
Co 58.93 Co.upf
Dy 162.50 Dy.upf
U 238.03 U.upf
CELL_PARAMETERS angstrom
-2.045 -0.595 -4.566
1.759 -3.557 -3.103
-5.465 -6.746 0.547
ATOMIC_POSITIONS angstrom
Co -2.989 -8.207 -4.553
Co -2.442 -3.727 -1.200
Co -1.172 -3.105 -3.244
Co -4.874 -6.738 -5.277
Co -5.314 -9.173 -4.763
Co -4.002 -8.502 -6.816
Co -0.295 -4.878 -4.791
Co -2.190 -3.402 -5.520
Dy -5.458 -6.739 0.543
Dy -4.897 -7.468 -2.393
Dy -2.885 -5.459 -3.555
U -2.303 -6.166 -6.503

=====

Total magnetization? In order: 0.000; 0.000; 0.000; 0.000; 0.691; 4.748 Bohr magnetons per cell.
Uncorrected energy? In order: -7.769; -4.945; -2.391; -3.408; -4.700; -6.995 eV/atom.